(1)
DFT (GGA-PBE) results for a relaxed structure of Na2Sr2La.

abc: 10.5765 10.5765 3.8943
angles: 90.00 90.00 90.00
With the nearest neighbours (Å) after each atom.
Element x y z (fractional)
Sr (0.3635, 0.8635, 0.0000)  6 Na 3.56-3.74, 2 Sr 3.89
Sr (0.8635, 0.6365, 0.0000)  6 Na 3.56-3.74, 2 Sr 3.89
Sr (0.6365, 0.1365, 0.0000)  6 Na 3.56-3.74, 2 Sr 3.89
Sr (0.1365, 0.3635, 0.0000)  6 Na 3.56-3.74, 2 Sr 3.89
Na (0.1640, 0.6640, 0.5000)  6 Sr 3.56-3.74, 2 Na 3.89
Na (0.6640, 0.8360, 0.5000)  6 Sr 3.56-3.74, 2 Na 3.89
Na (0.8360, 0.3360, 0.5000)  6 Sr 3.56-3.74, 2 Na 3.89
Na (0.3360, 0.1640, 0.5000)  6 Sr 3.56-3.74, 2 Na 3.89
La (0.0000, 0.0000, 0.0000)  2 La 3.89, 4 Sr 4.11
La (0.5000, 0.5000, 0.0000)  2 La 3.89, 4 Sr 4.11

Properties
ΔH_f (0 K), eV per atom: 0.274
Magnetic moment, μB per formula unit: 0.51
DFT total energy, hartree per atom: -0.070
Offset from the most stable computed form, eV/atom: 0.083

=====

(2)
DFT (GGA-PBE) results for a relaxed structure of Ce12Pu2In5.

abc: 7.4545 8.4068 8.4068
angles: 73.55 87.80 87.80
With the nearest neighbours (Å) after each atom.
Element x y z (fractional)
Ce (0.8837, 0.0823, 0.0823)  3 Ce 2.75-3.06
Ce (0.3300, 0.1362, 0.6230)  2 Ce 2.90-3.06, 1 Pu 2.91
Ce (0.3300, 0.6230, 0.1362)  2 Ce 2.90-3.06, 1 Pu 2.91
Ce (0.7831, 0.0534, 0.6515)  1 Pu 2.79
Ce (0.7831, 0.6515, 0.0534)  1 Pu 2.79
Ce (0.6894, 0.5057, 0.5057)  3 Ce 2.84-2.90, 2 Pu 3.10
Ce (0.3106, 0.4943, 0.4943)  3 Ce 2.84-2.90, 2 Pu 3.10
Ce (0.2169, 0.9466, 0.3485)  1 Pu 2.79
Ce (0.2169, 0.3485, 0.9466)  1 Pu 2.79
Ce (0.6700, 0.8638, 0.3770)  2 Ce 2.90-3.06, 1 Pu 2.91
Ce (0.6700, 0.3770, 0.8638)  2 Ce 2.90-3.06, 1 Pu 2.91
Ce (0.1163, 0.9177, 0.9177)  3 Ce 2.75-3.06
Pu (0.0000, 0.7043, 0.2957)  6 Ce 2.79-3.10
Pu (0.0000, 0.2957, 0.7043)  6 Ce 2.79-3.10
In (0.0035, 0.3150, 0.3150)  2 Pu 3.23, 9 Ce 3.30-3.59, 1 In 3.38
In (0.5617, 0.2685, 0.2685)  11 Ce 3.31-3.71, 2 In 3.38-3.67
In (0.5000, 0.0000, 0.0000)  10 Ce 3.12-3.48
In (0.4383, 0.7315, 0.7315)  11 Ce 3.31-3.71, 2 In 3.38-3.67
In (0.9965, 0.6850, 0.6850)  2 Pu 3.23, 9 Ce 3.30-3.59, 1 In 3.38

Properties
ΔH_f (0 K), eV per atom: -0.120
Magnetic moment, μB per formula unit: 13.57
DFT total energy, hartree per atom: -0.224

=====

(3)
DFT (GGA-PBE) results for a relaxed structure of HfRu3S.

abc: 4.8268 4.8268 4.8268
angles: 90.00 90.00 90.00
With the nearest neighbours (Å) after each atom.
Element x y z (fractional)
Ru (0.0000, 0.5000, 0.0000)  2 Hf 2.41
Ru (0.0000, 0.0000, 0.5000)  2 Hf 2.41
Ru (0.5000, 0.0000, 0.0000)  2 Hf 2.41
S (0.5000, 0.5000, 0.5000)  12 Ru 3.41
Hf (0.0000, 0.0000, 0.0000)  6 Ru 2.41

Properties
Magnetic moment, μB per formula unit: 4.62
DFT total energy, hartree per atom: -0.241
Offset from the most stable computed form, eV/atom: 1.808
Raw formation energy, kcal/mol of atoms: 42.06

=====

(4)
DFT (GGA-PBE) results for a relaxed structure of GaCoAs2Br.

abc: 4.8849 4.8849 5.2503
angles: 90.00 90.00 90.00
With the nearest neighbours (Å) after each atom.
Element x y z (fractional)
As (0.0000, 0.5000, 0.0000)  2 Ga 2.44
As (0.5000, 0.0000, 0.0000)  2 Ga 2.44
Co (0.5000, 0.5000, 0.5000)  4 Br 3.45, 8 As 3.59
Ga (0.0000, 0.0000, 0.0000)  4 As 2.44, 2 Br 2.63
Br (0.0000, 0.0000, 0.5000)  2 Ga 2.63

Properties
Magnetic moment, μB per formula unit: 2.90
DFT total energy, hartree per atom: -0.118
Offset from the most stable computed form, eV/atom: 0.804
Raw formation energy, kcal/mol of atoms: 23.11

=====

(5)
DFT (GGA-PBE) results for a relaxed structure of ZnSeBr4.

abc: 6.2916 6.2916 6.2916
angles: 60.00 60.00 60.00
With the nearest neighbours (Å) after each atom.
Element x y z (fractional)
Zn (0.0000, 0.0000, 0.0000)  12 Br 3.69, 4 Se 3.85
Se (0.7500, 0.7500, 0.7500)  12 Br 3.69, 4 Zn 3.85
Br (0.8759, 0.3747, 0.3747)  6 Br 3.14-3.15
Br (0.3747, 0.3747, 0.8759)  6 Br 3.14-3.15
Br (0.3747, 0.8759, 0.3747)  6 Br 3.14-3.15
Br (0.3747, 0.3747, 0.3747)  6 Br 3.14-3.15

Properties
Magnetic moment, μB per formula unit: 1.54
DFT total energy, hartree per atom: -0.041
Raw formation energy, kcal/mol of atoms: 18.51

=====

(6)
DFT (GGA-PBE) results for a relaxed structure of Be2GeBr.

abc: 7.5642 3.7232 11.0426
angles: 90.00 100.78 90.00
With the nearest neighbours (Å) after each atom.
Element x y z (fractional)
Be (0.6525, 0.0000, 0.5865)  3 Be 2.16-2.26
Be (0.6525, 0.5000, 0.0865)  3 Be 2.16-2.26
Be (0.9981, 0.0000, 0.9488)  3 Br 2.14-2.32, 1 Ge 2.28
Be (0.9981, 0.5000, 0.4488)  3 Br 2.14-2.32, 1 Ge 2.28
Be (0.5460, 0.0000, 0.9808)  4 Be 2.16-2.26, 1 Ge 2.27, 1 Br 2.37
Be (0.5460, 0.5000, 0.4808)  4 Be 2.16-2.26, 1 Ge 2.27, 1 Br 2.37
Be (0.5765, 0.0000, 0.3877)  3 Be 2.16, 3 Ge 2.23-2.39
Be (0.5765, 0.5000, 0.8877)  3 Be 2.16, 3 Ge 2.23-2.39
Ge (0.7271, 0.0000, 0.8170)  5 Be 2.28-2.50
Ge (0.7271, 0.5000, 0.3170)  5 Be 2.28-2.50
Ge (0.5215, 0.0000, 0.1824)  4 Be 2.23-2.44
Ge (0.5215, 0.5000, 0.6824)  4 Be 2.23-2.44
Br (0.9838, 0.0000, 0.5724)  3 Be 2.32-2.54
Br (0.9838, 0.5000, 0.0724)  3 Be 2.32-2.54
Br (0.2420, 0.0000, 0.8777)  2 Be 2.14-2.37
Br (0.2420, 0.5000, 0.3777)  2 Be 2.14-2.37

Properties
Magnetic moment, μB per formula unit: 0.00
DFT total energy, hartree per atom: -0.127
Offset from the most stable computed form, eV/atom: 0.110
Raw formation energy, kcal/mol of atoms: -0.46

=====

(7)
DFT (GGA-PBE) results for a relaxed structure of La7Co2Sn3.

abc: 5.0261 5.2746 13.7279
angles: 101.08 90.00 90.00
With the nearest neighbours (Å) after each atom.
Element x y z (fractional)
La (0.0000, 0.3954, 0.7908)  2 Co 2.64
La (0.0000, 0.7896, 0.5792)  1 Co 2.89
La (0.0000, 0.0000, 0.0000)  2 Co 2.78
La (0.0000, 0.6046, 0.2092)  2 Co 2.64
La (0.5000, 0.0976, 0.1953)  2 Co 2.52
La (0.5000, 0.9024, 0.8047)  2 Co 2.52
La (0.0000, 0.2104, 0.4208)  1 Co 2.89
Co (0.0000, 0.8968, 0.7937)  5 La 2.52-2.78
Co (0.0000, 0.1032, 0.2063)  5 La 2.52-2.78
Sn (0.5000, 0.5000, 0.0000)  12 La 3.64-3.78
Sn (0.5000, 0.6909, 0.3818)  10 La 3.42-3.68
Sn (0.5000, 0.3091, 0.6182)  10 La 3.42-3.68

Properties
ΔH_f (0 K), eV per atom: -0.469
Magnetic moment, μB per formula unit: 0.00
DFT total energy, hartree per atom: -0.203

=====

(8)
DFT (GGA-PBE) results for a relaxed structure of RbNa2Ag2.

abc: 9.1009 9.1009 3.6187
angles: 90.00 90.00 90.00
With the nearest neighbours (Å) after each atom.
Element x y z (fractional)
Na (0.1616, 0.6616, 0.5000)  6 Ag 3.15-3.36
Na (0.6616, 0.8384, 0.5000)  6 Ag 3.15-3.36
Na (0.8384, 0.3384, 0.5000)  6 Ag 3.15-3.36
Na (0.3384, 0.1616, 0.5000)  6 Ag 3.15-3.36
Rb (0.0000, 0.0000, 0.0000)  2 Rb 3.62, 4 Ag 3.64, 8 Na 3.86
Rb (0.5000, 0.5000, 0.0000)  2 Rb 3.62, 4 Ag 3.64, 8 Na 3.86
Ag (0.3817, 0.8817, 0.0000)  1 Ag 3.04, 6 Na 3.15-3.36
Ag (0.8817, 0.6183, 0.0000)  1 Ag 3.04, 6 Na 3.15-3.36
Ag (0.6183, 0.1183, 0.0000)  1 Ag 3.04, 6 Na 3.15-3.36
Ag (0.1183, 0.3817, 0.0000)  1 Ag 3.04, 6 Na 3.15-3.36

Properties
ΔH_f (0 K), eV per atom: 0.077
Magnetic moment, μB per formula unit: 0.00
DFT total energy, hartree per atom: -0.066
Offset from the most stable computed form, eV/atom: 0.052

=====

(9)
DFT (GGA-PBE) results for a relaxed structure of CaCo2As2.

abc: 4.0149 4.0149 5.8651
angles: 69.98 69.98 90.00
With the nearest neighbours (Å) after each atom.
Element x y z (fractional)
As (0.3655, 0.3655, 0.2691)  4 Co 2.33
As (0.6345, 0.6345, 0.7309)  4 Co 2.33
Co (0.7500, 0.2500, 0.5000)  4 As 2.33
Co (0.2500, 0.7500, 0.5000)  4 As 2.33
Ca (0.0000, 0.0000, 0.0000)  8 As 3.16, 8 Co 3.26

Properties
ΔH_f (0 K), eV per atom: -0.612
Magnetic moment, μB per formula unit: 1.25
DFT total energy, hartree per atom: -0.210

=====

(10)
DFT (GGA-PBE) results for a relaxed structure of Ce5Ga2Ni.

abc: 5.0575 5.0575 8.5278
angles: 72.75 72.75 60.00
With the nearest neighbours (Å) after each atom.
Element x y z (fractional)
Ce (0.5000, 0.5000, 0.5000)  8 Ce 3.12-3.49, 6 Ga 3.26
Ce (0.3702, 0.3702, 0.8896)  5 Ce 2.98-3.16, 3 Ni 3.05
Ce (0.6298, 0.6298, 0.1104)  5 Ce 2.98-3.16, 3 Ni 3.05
Ce (0.2460, 0.2460, 0.2620)  3 Ga 2.96, 4 Ce 2.98-3.16
Ce (0.7540, 0.7540, 0.7380)  3 Ga 2.96, 4 Ce 2.98-3.16
Ga (0.1065, 0.1065, 0.6805)  1 Ni 2.56
Ga (0.8935, 0.8935, 0.3195)  1 Ni 2.56
Ni (0.0000, 0.0000, 0.0000)  2 Ga 2.56

Properties
ΔH_f (0 K), eV per atom: -0.268
Magnetic moment, μB per formula unit: 0.00
DFT total energy, hartree per atom: -0.201

=====

(11)
DFT (GGA-PBE) results for a relaxed structure of VNiPS2.

abc: 4.4702 4.4702 4.5924
angles: 90.00 90.00 90.00
With the nearest neighbours (Å) after each atom.
Element x y z (fractional)
Ni (0.5000, 0.5000, 0.5000)  4 P 3.16, 8 S 3.20
S (0.0000, 0.5000, 0.0000)  2 V 2.24
S (0.5000, 0.0000, 0.0000)  2 V 2.24
P (0.0000, 0.0000, 0.5000)  2 V 2.30
V (0.0000, 0.0000, 0.0000)  4 S 2.24, 2 P 2.30

Properties
Magnetic moment, μB per formula unit: 0.87
DFT total energy, hartree per atom: -0.193
Raw formation energy, kcal/mol of atoms: 10.79

=====

(12)
DFT (GGA-PBE) results for a relaxed structure of HfNbRh5.

abc: 3.9774 3.9774 7.3704
angles: 90.00 90.00 90.00
With the nearest neighbours (Å) after each atom.
Element x y z (fractional)
Hf (0.5000, 0.5000, 0.0000)  8 Rh 2.68
Nb (0.0000, 0.0000, 0.5000)  12 Rh 2.74-2.81
Rh (0.0000, 0.5000, 0.7552)  2 Hf 2.68, 6 Rh 2.74-2.81, 2 Nb 2.74
Rh (0.0000, 0.5000, 0.2448)  2 Hf 2.68, 6 Rh 2.74-2.81, 2 Nb 2.74
Rh (0.5000, 0.0000, 0.7552)  2 Hf 2.68, 2 Nb 2.74, 6 Rh 2.74-2.81
Rh (0.5000, 0.0000, 0.2448)  2 Hf 2.68, 2 Nb 2.74, 6 Rh 2.74-2.81
Rh (0.5000, 0.5000, 0.5000)  8 Rh 2.74, 4 Nb 2.81

Properties
ΔH_f (0 K), eV per atom: -0.353
Magnetic moment, μB per formula unit: 0.00
DFT total energy, hartree per atom: -0.311